VASP calculation (PBE with a Hubbard U) on a relaxed Rb2CoIr3O12 crystal.

a = 7.1141 Å, b = 7.1141 Å, c = 7.1141 Å
α = 61.21°, β = 61.21°, γ = 61.21°
Last column: magnetic moment on the atom in μB.
Fractional positions:
O 0.3220 0.9259 0.3220  -0.02
O 0.6785 0.0690 0.0690  -0.16
Ir 0.5000 0.0000 0.0000  -0.59
O 0.9310 0.3215 0.9310  -0.16
O 0.0690 0.0690 0.6785  -0.16
O 0.3220 0.3220 0.9259  -0.02
Ir 0.0000 0.0000 0.5000  -0.59
O 0.0741 0.6780 0.6780  -0.02
O 0.9259 0.3220 0.3220  -0.02
O 0.3215 0.9310 0.9310  -0.16
O 0.6780 0.0741 0.6780  -0.02
O 0.9310 0.9310 0.3215  -0.16
O 0.0690 0.6785 0.0690  -0.16
O 0.6780 0.6780 0.0741  -0.02
Rb 0.6249 0.6249 0.6249  -0.01
Ir 0.0000 0.5000 0.0000  -0.59
Co 0.0000 0.0000 0.0000  2.67
Rb 0.3751 0.3751 0.3751  -0.01

Values from the calculation:
Calculated density: 6.340 g cm⁻³
Total magnetic moment: 0.56 μB/cell
Total DFT energy (no corrections): -108.4 eV per cell